# PBE-GGA MnTc2, relaxed
# Space-group type ... P6_3/mmc
# D(E_F) ... 9.5 states/eV/cell
# Electronic total energy ... -115.88 eV/cell
data_MnTc2
_chemical_formula_sum 'Mn4 Tc8'
_space_group_name_H-M_alt 'P 1'
_space_group_IT_number 1
_cell_length_a 5.100
_cell_length_b 5.100
_cell_length_c 8.271
_cell_angle_alpha 90.00
_cell_angle_beta 90.00
_cell_angle_gamma 120.00
loop_
_space_group_symop_operation_xyz
'x,y,z'
loop_
_atom_site_label
_atom_site_type_symbol
_atom_site_fract_x
_atom_site_fract_y
_atom_site_fract_z
Mn1 Mn 0.333 0.667 0.071
Mn2 Mn 0.333 0.667 0.429
Mn3 Mn 0.667 0.333 0.571
Mn4 Mn 0.667 0.333 0.929
Tc1 Tc 0.000 0.000 0.000
Tc2 Tc 0.000 0.000 0.500
Tc3 Tc 0.174 0.348 0.750
Tc4 Tc 0.174 0.826 0.750
Tc5 Tc 0.348 0.174 0.250
Tc6 Tc 0.652 0.826 0.750
Tc7 Tc 0.826 0.174 0.250
Tc8 Tc 0.826 0.652 0.250